Density functional theory data (PBE-GGA) for crystalline TlNiI3 at its relaxed geometry.

It has space group P2_1/c (No. 14), with a = 10.013 Å, b = 6.910 Å, c = 12.711 Å, α = 90.00°, β = 117.34° and γ = 90.00°. Symmetry generates all atoms from Tl at (0.173, 0.201, 0.189), Ni at (0.420, 0.741, 0.432), I at (0.148, 0.670, 0.265), I at (0.321, 0.071, 0.482) and I at (0.460, 0.551, 0.629).

The energy relative to the lowest polymorph listed for this composition is 0.000 eV/atom. Its total energy is -2.812 eV/atom. As for the uncorrected formation energy: -5.8 kcal/mol of atoms.

Density functional theory data (PBE-GGA) for crystalline TlNiI4 at its relaxed geometry.

It has space group I-4 (No. 82), with a = 7.745 Å, b = 7.745 Å, c = 9.430 Å, α = 90.00°, β = 90.00° and γ = 90.00°. Symmetry generates all atoms from Tl at (0.000, 0.000, 0.000), Ni at (0.000, 0.500, 0.250) and I at (0.228, 0.729, 0.251).

The energy relative to the lowest polymorph listed for this composition is 0.000 eV/atom. Its total energy is -2.562 eV/atom. As for the uncorrected formation energy: -3.9 kcal/mol of atoms.

Density functional theory data (PBE-GGA) for crystalline Tl4NiI6 at its relaxed geometry.

It has space group P4/mnc (No. 128), with a = 9.227 Å, b = 9.227 Å, c = 10.049 Å, α = 90.00°, β = 90.00° and γ = 90.00°. Symmetry generates all atoms from Tl at (0.151, 0.349, 0.250), Ni at (0.000, 0.000, 0.000), I at (0.000, 0.000, 0.273) and I at (0.129, 0.718, 0.000).

Its total energy is -2.693 eV/atom. As for the uncorrected formation energy: -10.6 kcal/mol of atoms.

Density functional theory data (PBE-GGA) for crystalline Tm4NiI5 at its relaxed geometry.

It has space group C2/m (No. 12), with a = 19.328 Å, b = 4.033 Å, c = 8.771 Å, α = 90.00°, β = 102.43° and γ = 90.00°. Symmetry generates all atoms from Tm at (0.000, 0.000, 0.197), Tm at (0.138, 0.500, 0.070), Ni at (0.000, 0.500, 0.000), I at (0.000, 0.500, 0.500), I at (0.168, 0.000, 0.342) and I at (0.177, 0.000, 0.832).

Its total energy is -4.166 eV/atom. As for the uncorrected formation energy: -23.6 kcal/mol of atoms.

Density functional theory data (PBE-GGA) for crystalline Tm3NiI3 at its relaxed geometry.

It has space group P2_1/m (No. 11), with a = 8.825 Å, b = 4.098 Å, c = 12.120 Å, α = 90.00°, β = 93.88° and γ = 90.00°. Symmetry generates all atoms from Tm at (0.090, 0.250, 0.308), Tm at (0.139, 0.250, 0.870), Tm at (0.244, 0.750, 0.097), Ni at (0.040, 0.250, 0.080), I at (0.146, 0.250, 0.607), I at (0.347, 0.750, 0.356) and I at (0.423, 0.750, 0.867).

Its total energy is -4.327 eV/atom. As for the uncorrected formation energy: -21.2 kcal/mol of atoms.

Density functional theory data (PBE-GGA) for crystalline Tm7NiI12 at its relaxed geometry.

It has space group R-3 (No. 148, hexagonal axes), with a = 15.5013 Å, b = 15.5013 Å, c = 10.5908 Å, α = 90.00°, β = 90.00° and γ = 120.00°. Symmetry generates all atoms from Tm at (0.0000, 0.0000, 0.0000), Tm at (0.0423, 0.8893, 0.3606), Ni at (0.0000, 0.0000, 0.5000), I at (0.0195, 0.4350, 0.1584) and I at (0.0514, 0.8709, 0.8390).

Its total energy is -3.943 eV/atom. As for the uncorrected formation energy: -26.7 kcal/mol of atoms.

Density functional theory data (PBE-GGA) for crystalline TmNiI2 at its relaxed geometry.

It has space group R-3m (No. 166, hexagonal axes), with a = 3.9257 Å, b = 3.9257 Å, c = 26.9711 Å, α = 90.00°, β = 90.00° and γ = 120.00°. Symmetry generates all atoms from Tm at (0.0000, 0.0000, 0.0000), Ni at (0.0000, 0.0000, 0.5000) and I at (0.0000, 0.0000, 0.1104).

Its total energy is -3.359 eV/atom. As for the uncorrected formation energy: -0.5 kcal/mol of atoms.

Density functional theory data (PBE-GGA) for crystalline Tm2NiI at its relaxed geometry.

It has space group R-3m (No. 166, hexagonal axes), with a = 3.9657 Å, b = 3.9657 Å, c = 23.2624 Å, α = 90.00°, β = 90.00° and γ = 120.00°. Symmetry generates all atoms from Tm at (0.0000, 0.0000, 0.2259), Ni at (0.0000, 0.0000, 0.5000) and I at (0.0000, 0.0000, 0.0000).

Its total energy is -4.727 eV/atom. As for the uncorrected formation energy: -15.2 kcal/mol of atoms.

Density functional theory data (PBE-GGA) for crystalline UNiI at its relaxed geometry.

It has space group P-1 (No. 2), with a = 3.782 Å, b = 3.944 Å, c = 11.355 Å, α = 81.62°, β = 89.97° and γ = 89.98°. Symmetry generates all atoms from U at (0.249, 0.210, 0.120), Ni at (0.251, 0.293, 0.882) and I at (0.251, 0.155, 0.663).

Its total energy is -6.293 eV/atom. As for the uncorrected formation energy: -2.0 kcal/mol of atoms.

Density functional theory data (PBE-GGA) for crystalline UNiI2 at its relaxed geometry.

It has space group R-3m (No. 166, hexagonal axes), with a = 3.7177 Å, b = 3.7177 Å, c = 28.1442 Å, α = 90.00°, β = 90.00° and γ = 120.00°. Symmetry generates all atoms from U at (0.0000, 0.0000, 0.0000), Ni at (0.0000, 0.0000, 0.5000) and I at (0.0000, 0.0000, 0.1097).

Its total energy is -4.615 eV/atom. As for the uncorrected formation energy: 9.8 kcal/mol of atoms.

Density functional theory data (PBE-GGA) for crystalline V2NiI at its relaxed geometry.

It has space group I-42d (No. 122), with a = 5.503 Å, b = 5.503 Å, c = 11.761 Å, α = 90.00°, β = 90.00° and γ = 90.00°. Symmetry generates all atoms from V at (0.172, 0.250, 0.125), Ni at (0.000, 0.000, 0.000) and I at (0.000, 0.000, 0.500).

The energy relative to the lowest polymorph listed for this composition is 0.283 eV/atom. Its total energy is -5.500 eV/atom. As for the uncorrected formation energy: 20.6 kcal/mol of atoms.

Density functional theory data (PBE-GGA) for crystalline V2NiI at its relaxed geometry.

It has space group Fm-3m (No. 225), with a = 6.198 Å, b = 6.198 Å, c = 6.198 Å, α = 90.00°, β = 90.00° and γ = 90.00°. Symmetry generates all atoms from V at (0.250, 0.250, 0.250), Ni at (0.000, 0.000, 0.000) and I at (0.000, 0.000, 0.500).

The energy relative to the lowest polymorph listed for this composition is 0.000 eV/atom. Its total energy is -5.783 eV/atom. As for the uncorrected formation energy: 14.0 kcal/mol of atoms.

Density functional theory data (PBE-GGA) for crystalline V3NiI at its relaxed geometry.

It has space group Pm-3m (No. 221), with a = 4.549 Å, b = 4.549 Å, c = 4.549 Å, α = 90.00°, β = 90.00° and γ = 90.00°. Symmetry generates all atoms from V at (0.000, 0.000, 0.500), Ni at (0.000, 0.000, 0.000) and I at (0.500, 0.500, 0.500).

The energy relative to the lowest polymorph listed for this composition is 0.000 eV/atom. Its total energy is -5.969 eV/atom. As for the uncorrected formation energy: 22.3 kcal/mol of atoms.

Density functional theory data (PBE-GGA) for crystalline VNi2I6 at its relaxed geometry.

It has space group P2_1/c (No. 14), with a = 6.922 Å, b = 8.200 Å, c = 14.008 Å, α = 90.00°, β = 114.30° and γ = 90.00°. Symmetry generates all atoms from V at (0.000, 0.000, 0.000), Ni at (0.428, 0.062, 0.913), I at (0.125, 0.250, 0.405), I at (0.245, 0.712, 0.438) and I at (0.357, 0.053, 0.184).

Its total energy is -3.487 eV/atom. As for the uncorrected formation energy: -3.6 kcal/mol of atoms.

Density functional theory data (PBE-GGA) for crystalline VNiI at its relaxed geometry.

It has space group P2_1/m (No. 11), with a = 3.698 Å, b = 3.725 Å, c = 9.447 Å, α = 90.00°, β = 92.69° and γ = 90.00°. Symmetry generates all atoms from V at (0.007, 0.250, 0.101), Ni at (0.465, 0.250, 0.924) and I at (0.209, 0.750, 0.309).

Its total energy is -5.520 eV/atom. As for the uncorrected formation energy: -0.8 kcal/mol of atoms.

Density functional theory data (PBE-GGA) for crystalline V2NiI2 at its relaxed geometry.

It has space group I4/mmm (No. 139), with a = 5.257 Å, b = 5.257 Å, c = 7.431 Å, α = 90.00°, β = 90.00° and γ = 90.00°. Symmetry generates all atoms from V at (0.000, 0.000, 0.126), Ni at (0.000, 0.000, 0.500) and I at (0.000, 0.500, 0.250).

The energy relative to the lowest polymorph listed for this composition is 0.003 eV/atom. Its total energy is -4.703 eV/atom. As for the uncorrected formation energy: 16.6 kcal/mol of atoms.

Density functional theory data (PBE-GGA) for crystalline V3NiI at its relaxed geometry.

It has space group Pm-3m (No. 221), with a = 4.762 Å, b = 4.762 Å, c = 4.762 Å, α = 90.00°, β = 90.00° and γ = 90.00°. Symmetry generates all atoms from V at (0.000, 0.000, 0.500), Ni at (0.500, 0.500, 0.500) and I at (0.000, 0.000, 0.000).

The energy relative to the lowest polymorph listed for this composition is 0.886 eV/atom. Its total energy is -5.083 eV/atom. As for the uncorrected formation energy: 42.8 kcal/mol of atoms.

Density functional theory data (PBE-GGA) for crystalline V2NiI2 at its relaxed geometry.

It has space group P4/mbm (No. 127), with a = 6.813 Å, b = 6.813 Å, c = 4.036 Å, α = 90.00°, β = 90.00° and γ = 90.00°. Symmetry generates all atoms from V at (0.124, 0.376, 0.000), Ni at (0.000, 0.000, 0.000) and I at (0.169, 0.669, 0.500).

The energy relative to the lowest polymorph listed for this composition is 0.000 eV/atom. Its total energy is -4.707 eV/atom. As for the uncorrected formation energy: 16.5 kcal/mol of atoms.

Density functional theory data (PBE-GGA) for crystalline NiWI2 at its relaxed geometry.

It has space group Fm-3m (No. 225), with a = 6.755 Å, b = 6.755 Å, c = 6.755 Å, α = 90.00°, β = 90.00° and γ = 90.00°. Symmetry generates all atoms from Ni at (0.000, 0.000, 0.000), W at (0.000, 0.000, 0.500) and I at (0.250, 0.250, 0.250).

The energy relative to the lowest polymorph listed for this composition is 0.090 eV/atom. Its total energy is -4.271 eV/atom. As for the uncorrected formation energy: 27.4 kcal/mol of atoms.

Density functional theory data (PBE-GGA) for crystalline NiW2I at its relaxed geometry.

It has space group Fm-3m (No. 225), with a = 6.359 Å, b = 6.359 Å, c = 6.359 Å, α = 90.00°, β = 90.00° and γ = 90.00°. Symmetry generates all atoms from Ni at (0.000, 0.000, 0.000), W at (0.250, 0.250, 0.250) and I at (0.000, 0.000, 0.500).

The energy relative to the lowest polymorph listed for this composition is 0.000 eV/atom. Its total energy is -7.217 eV/atom. As for the uncorrected formation energy: 25.2 kcal/mol of atoms.

Density functional theory data (PBE-GGA) for crystalline NiWI2 at its relaxed geometry.

It has space group I-42d (No. 122), with a = 5.928 Å, b = 5.928 Å, c = 11.855 Å, α = 90.00°, β = 90.00° and γ = 90.00°. Symmetry generates all atoms from Ni at (0.000, 0.000, 0.000), W at (0.000, 0.000, 0.500) and I at (0.231, 0.250, 0.125).

The energy relative to the lowest polymorph listed for this composition is 0.000 eV/atom. Its total energy is -4.361 eV/atom. As for the uncorrected formation energy: 25.3 kcal/mol of atoms.

Density functional theory data (PBE-GGA) for crystalline NiW2I at its relaxed geometry.

It has space group I-42d (No. 122), with a = 3.765 Å, b = 3.765 Å, c = 20.050 Å, α = 90.00°, β = 90.00° and γ = 90.00°. Symmetry generates all atoms from Ni at (0.000, 0.000, 0.000), W at (0.231, 0.250, 0.125) and I at (0.000, 0.000, 0.500).

The energy relative to the lowest polymorph listed for this composition is 0.003 eV/atom. Its total energy is -7.215 eV/atom. As for the uncorrected formation energy: 25.2 kcal/mol of atoms.

Density functional theory data (PBE-GGA) for crystalline YNiI2 at its relaxed geometry.

It has space group Fm-3m (No. 225), with a = 7.379 Å, b = 7.379 Å, c = 7.379 Å, α = 90.00°, β = 90.00° and γ = 90.00°. Symmetry generates all atoms from Y at (0.000, 0.000, 0.000), Ni at (0.000, 0.000, 0.500) and I at (0.250, 0.250, 0.250).

The energy relative to the lowest polymorph listed for this composition is 0.058 eV/atom. Its total energy is -3.961 eV/atom. As for the uncorrected formation energy: -2.9 kcal/mol of atoms.

Density functional theory data (PBE-GGA) for crystalline YNiI3 at its relaxed geometry.

It has space group Pm-3m (No. 221), with a = 6.015 Å, b = 6.015 Å, c = 6.015 Å, α = 90.00°, β = 90.00° and γ = 90.00°. Symmetry generates all atoms from Y at (0.000, 0.000, 0.000), Ni at (0.500, 0.500, 0.500) and I at (0.000, 0.000, 0.500).

The energy relative to the lowest polymorph listed for this composition is 0.074 eV/atom. Its total energy is -3.468 eV/atom. As for the uncorrected formation energy: -2.1 kcal/mol of atoms.